A plane-wave DFT calculation with PBE with a Hubbard U was carried out for crystalline CsGaNiF6 at its relaxed geometry.

Lattice parameters (Å, degrees): 7.356 7.356 7.356 120.25 119.58 90.14
Atoms (fractional coordinates):
Cs 0.370 0.120 0.250
Cs 0.630 0.880 0.750
Ga 0.000 0.500 0.500
Ga 0.500 0.500 0.000
Ni 0.000 0.000 0.500
Ni 0.000 0.500 0.000
F 0.073 0.436 0.265
F 0.073 0.809 0.638
F 0.075 0.825 0.250
F 0.312 0.562 0.750
F 0.329 0.191 0.765
F 0.329 0.564 0.138
F 0.671 0.436 0.862
F 0.671 0.809 0.235
F 0.688 0.438 0.250
F 0.925 0.175 0.750
F 0.927 0.191 0.362
F 0.927 0.564 0.735

Values from the calculation:
Electronic total energy in Ha/atom: -0.1676
Magnetization in μB/f.u.: 1.99
Density in Mg/m³: 4.42
Energy relative to the lowest polymorph listed for this composition in meV per atom: 0